# 1
# Cs2Tl7Cd | the Alexandria database | PBE | optimized geometry
data_Cs2Tl7Cd
_chemical_formula_sum 'Cs8 Tl28 Cd4'
_symmetry_space_group_name_H-M 'F m -3 m'
_symmetry_Int_Tables_number 225
_symmetry_space_group_name_Hall '-F 4 2 3'
_cell_length_a 12.092
_cell_length_b 12.092
_cell_length_c 12.092
_cell_angle_alpha 90.00
_cell_angle_beta 90.00
_cell_angle_gamma 90.00
loop_
_atom_site_label
_atom_site_fract_x
_atom_site_fract_y
_atom_site_fract_z
Cs1 0.250 0.250 0.250
Tl1 0.000 0.000 0.000
Tl2 0.000 0.000 0.255
Cd1 0.000 0.000 0.500
# ρ = 6795 kg/m³
# Crystal system = cubic
# Energy of formation = 0.130 eV per atom

=====

# 2
# CsTl8Cd4 | the Alexandria database | PBE | optimized geometry
data_CsTl8Cd4
_chemical_formula_sum 'Cs2 Tl16 Cd8'
_symmetry_space_group_name_H-M 'I 4/m m m'
_symmetry_Int_Tables_number 139
_symmetry_space_group_name_Hall '-I 4 2'
_cell_length_a 11.430
_cell_length_b 11.430
_cell_length_c 6.106
_cell_angle_alpha 90.00
_cell_angle_beta 90.00
_cell_angle_gamma 90.00
loop_
_atom_site_label
_atom_site_fract_x
_atom_site_fract_y
_atom_site_fract_z
Cs1 0.000 0.000 0.000
Tl1 0.000 0.217 0.500
Tl2 0.000 0.357 0.000
Cd1 0.250 0.250 0.250
# ρ = 9233 kg/m³
# Crystal system = tetragonal
# Energy of formation = -0.017 eV per atom

=====

# 3
# Cs2TlCd2 | the Alexandria database | PBE | optimized geometry
data_Cs2TlCd2
_chemical_formula_sum 'Cs4 Tl2 Cd4'
_symmetry_space_group_name_H-M 'P 4/m b m'
_symmetry_Int_Tables_number 127
_symmetry_space_group_name_Hall '-P 4 2ab'
_cell_length_a 11.133
_cell_length_b 11.133
_cell_length_c 3.821
_cell_angle_alpha 90.00
_cell_angle_beta 90.00
_cell_angle_gamma 90.00
loop_
_atom_site_label
_atom_site_fract_x
_atom_site_fract_y
_atom_site_fract_z
Cs1 0.192 0.308 0.000
Tl1 0.000 0.000 0.000
Cd1 0.096 0.596 0.500
# ΔE to the lowest computed polymorph = 194 meV per atom
# ρ = 4874 kg/m³
# Crystal system = tetragonal
# Energy of formation = 0.127 eV per atom

=====

The lowest ρ belongs to which entry?
Cs2TlCd2

=====

Which of these has the highest energy of formation?
Cs2Tl7Cd